First-principles (PBE+U) data for a relaxed structure of UMnCoO6, as listed in Alexandria.

a b c (Å): 5.2640 5.2640 8.8948
angles (deg): 90.00 90.00 120.00
Space group P-31c (No. 163)
Inequivalent atoms, fractional coordinates:
U 0.3333 0.6667 0.2500
Mn 0.3333 0.6667 0.7500
Co 0.0000 0.0000 0.0000
O 0.0212 0.3557 0.6325

E	-7.935	eV per atom
crystal system	trigonal